This record from the Open Quantum Materials Database describes Pr2GdAgHg3Au2 after structural relaxation. The functional is GGA-PBE.

Output
ΔH_f (0 K) = -0.583 eV per atom
space group = Amm2
E_tot = -0.2426 Ry per atom

Cell: 3.8980 8.0553 8.0553 Å, 119.77 90.00 90.00°
Last column: nearest neighbours and their distance in Å.
Fractional coordinates of all 9 atoms:
Pr 0.0000 0.2027 0.7973  4 Au 3.15, 1 Ag 3.28, 6 Hg 3.29-3.49
Pr 0.0000 0.7973 0.2027  4 Au 3.15, 1 Ag 3.28, 6 Hg 3.29-3.49
Gd 0.0000 0.3895 0.3895  4 Au 3.08, 2 Hg 3.27, 1 Ag 3.28
Ag 0.0000 0.7949 0.7949  6 Hg 2.88-2.92
Hg 0.5000 0.0640 0.0640  2 Ag 2.92, 2 Au 2.97
Hg 0.5000 0.5315 0.7959  2 Ag 2.88, 2 Au 2.98-3.05
Hg 0.5000 0.7959 0.5315  2 Ag 2.88, 2 Au 2.98-3.05
Au 0.5000 0.1358 0.4625  3 Hg 2.97-3.05, 2 Gd 3.08, 4 Pr 3.15
Au 0.5000 0.4625 0.1358  3 Hg 2.97-3.05, 2 Gd 3.08, 4 Pr 3.15


This record from the Open Quantum Materials Database describes Li4AlZnAg2 after structural relaxation. The functional is GGA-PBE.

Output
space group = P-4m2
E_tot = -0.1853 Ry per atom

Cell: 4.4447 4.4447 6.2327 Å, 90.00 90.00 90.00°
Last column: nearest neighbours and their distance in Å.
Fractional coordinates of all 8 atoms:
Li 0.0000 0.0000 0.0000  4 Li 2.68, 4 Ag 2.74
Li 0.0000 0.5000 0.2412  4 Li 2.68-2.75, 2 Zn 2.68, 2 Al 2.75
Li 0.5000 0.0000 0.7588  4 Li 2.68-2.75, 2 Zn 2.68, 2 Al 2.75
Li 0.5000 0.5000 0.5000  4 Ag 2.69, 4 Li 2.75
Al 0.0000 0.0000 0.5000  4 Ag 2.69, 4 Li 2.75
Zn 0.5000 0.5000 0.0000  4 Li 2.68, 4 Ag 2.74
Ag 0.0000 0.5000 0.7430  4 Li 2.69-2.74, 2 Al 2.69, 2 Zn 2.74
Ag 0.5000 0.0000 0.2570  4 Li 2.69-2.74, 2 Al 2.69, 2 Zn 2.74


This record from the Open Quantum Materials Database describes ErTlSnTe3 after structural relaxation. The functional is GGA-PBE.

Output
space group = Cmcm
E_tot = -0.2970 Ry per atom

Cell: 8.2723 8.2723 12.3573 Å, 90.00 90.00 149.64°
Last column: nearest neighbours and their distance in Å.
Fractional coordinates of all 12 atoms:
Er 0.0000 0.0000 0.0000  6 Te 3.04-3.09
Er 0.0000 0.0000 0.5000  6 Te 3.04-3.09
Tl 0.2903 0.7097 0.7500  2 Te 3.30, 2 Sn 3.46
Tl 0.7097 0.2903 0.2500  2 Te 3.30, 2 Sn 3.46
Sn 0.3791 0.6209 0.2500  4 Te 2.99-3.12
Sn 0.6209 0.3791 0.7500  4 Te 2.99-3.12
Te 0.0083 0.9917 0.2500  2 Sn 2.99, 2 Er 3.09
Te 0.3661 0.6339 0.5019  2 Er 3.04, 1 Sn 3.12, 1 Tl 3.30
Te 0.3661 0.6339 0.9981  2 Er 3.04, 1 Sn 3.12, 1 Tl 3.30
Te 0.6339 0.3661 0.0019  2 Er 3.04, 1 Sn 3.12, 1 Tl 3.30
Te 0.6339 0.3661 0.4981  2 Er 3.04, 1 Sn 3.12, 1 Tl 3.30
Te 0.9917 0.0083 0.7500  2 Sn 2.99, 2 Er 3.09